(1)
! CaTe PBE-GGA optimized geometry; values from VASP
&SYSTEM
  ibrav = 0, nat = 8, ntyp = 2
/
ATOMIC_SPECIES
Ca 40.08 Ca.upf
Te 127.60 Te.upf
ATOMIC_POSITIONS crystal
Ca 0.132 0.299 0.431
Ca 0.299 0.868 0.168
Ca 0.701 0.132 0.832
Ca 0.868 0.701 0.569
Te 0.108 0.717 0.825
Te 0.283 0.108 0.392
Te 0.717 0.892 0.608
Te 0.892 0.283 0.175
CELL_PARAMETERS angstrom
-6.331 6.331 2.632
6.331 -6.331 2.632
6.331 6.331 -2.632
! calculated total energy = -31.59 eV per cell
! spin magnetization = 0.00 μB/cell


(2)
! CaTe PBE-GGA optimized geometry; values from VASP
&SYSTEM
  ibrav = 0, nat = 2, ntyp = 2
/
ATOMIC_SPECIES
Ca 40.08 Ca.upf
Te 127.60 Te.upf
ATOMIC_POSITIONS crystal
Ca 0.000 0.000 0.000
Te 0.500 0.500 0.500
CELL_PARAMETERS angstrom
3.925 0.000 0.000
0.000 3.925 0.000
0.000 0.000 3.925
! calculated total energy = -7.82 eV per cell
! spin magnetization = 0.00 μB/cell


(3)
! CaTe PBE-GGA optimized geometry; values from VASP
&SYSTEM
  ibrav = 0, nat = 4, ntyp = 2
/
ATOMIC_SPECIES
Ca 40.08 Ca.upf
Te 127.60 Te.upf
ATOMIC_POSITIONS crystal
Ca 0.143 0.857 0.750
Ca 0.857 0.143 0.250
Te 0.371 0.629 0.750
Te 0.629 0.371 0.250
CELL_PARAMETERS angstrom
2.172 -6.963 0.000
2.172 6.963 0.000
0.000 0.000 4.552
! calculated total energy = -16.28 eV per cell
! spin magnetization = 0.00 μB/cell


(4)
! CaTe3 PBE-GGA optimized geometry; values from VASP
&SYSTEM
  ibrav = 0, nat = 4, ntyp = 2
/
ATOMIC_SPECIES
Ca 40.08 Ca.upf
Te 127.60 Te.upf
ATOMIC_POSITIONS crystal
Ca 0.000 0.000 0.000
Te 0.000 0.000 0.500
Te 0.364 0.500 0.769
Te 0.636 0.500 0.231
CELL_PARAMETERS angstrom
4.526 0.000 0.000
0.000 4.078 0.000
-1.336 0.000 7.015
! calculated total energy = -13.99 eV per cell
! spin magnetization = 0.00 μB/cell


(5)
! CaTe3 PBE-GGA optimized geometry; values from VASP
&SYSTEM
  ibrav = 0, nat = 4, ntyp = 2
/
ATOMIC_SPECIES
Ca 40.08 Ca.upf
Te 127.60 Te.upf
ATOMIC_POSITIONS crystal
Ca 0.000 0.000 0.000
Te 0.262 0.262 0.756
Te 0.500 0.500 0.500
Te 0.738 0.738 0.244
CELL_PARAMETERS angstrom
6.259 -2.205 0.000
6.259 2.205 0.000
-0.207 0.000 4.608
! calculated total energy = -13.94 eV per cell
! spin magnetization = 0.00 μB/cell


(6)
! CaTe PBE-GGA optimized geometry; values from VASP
&SYSTEM
  ibrav = 0, nat = 2, ntyp = 2
/
ATOMIC_SPECIES
Ca 40.08 Ca.upf
Te 127.60 Te.upf
ATOMIC_POSITIONS crystal
Ca 0.000 0.000 0.000
Te 0.500 0.500 0.500
CELL_PARAMETERS angstrom
0.000 3.198 3.198
3.198 0.000 3.198
3.198 3.198 0.000
! calculated total energy = -8.45 eV per cell
! spin magnetization = 0.00 μB/cell


Number 1: E_form (uncorrected) -1.378 eV per atom. Number 2: E_form (uncorrected) -1.341 eV per atom. Number 3: E_form (uncorrected) -1.499 eV per atom. Number 4: E_form (uncorrected) -0.640 eV per atom. Number 5: E_form (uncorrected) -0.627 eV per atom. Number 6: E_form (uncorrected) -1.651 eV per atom.